(1)
{
  "formula": "CuSn",
  "functional": "GGA-PBE",
  "state": "relaxed",
  "n_ef_per_ev_atom": 0.34,
  "magmom_total_mub_per_fu": 0.00,
  "formation_enthalpy_0k_mev_per_atom": 113,
  "cell": [[0.000, 4.134, 5.580], [3.371, 0.000, 5.580], [3.371, 4.134, 0.000]],
  "species": ["Cu", "Cu", "Cu", "Cu", "Sn", "Sn", "Sn", "Sn"],
  "fractional_positions": [[0.059, 0.691, 0.691], [0.309, 0.941, 0.941], [0.691, 0.059, 0.059], [0.941, 0.309, 0.309], [0.170, 0.580, 0.170], [0.420, 0.830, 0.420], [0.580, 0.170, 0.580], [0.830, 0.420, 0.830]]
}


(2)
{
  "formula": "ScMoAu2",
  "functional": "GGA-PBE",
  "state": "relaxed",
  "polymorph_energy_mev_per_atom": 252,
  "n_ef_per_ev_atom": 0.97,
  "magmom_total_mub_per_fu": 0.00,
  "formation_enthalpy_0k_mev_per_atom": 98,
  "cell": [[1.485, 0.857, 9.450], [-1.485, 0.857, 9.450], [0.000, -1.714, 9.450]],
  "species": ["Sc", "Mo", "Au", "Au"],
  "fractional_positions": [[0.000, 0.000, 0.000], [0.500, 0.500, 0.500], [0.249, 0.249, 0.249], [0.751, 0.751, 0.751]]
}


(3)
{
  "formula": "Bi2HSeS",
  "functional": "GGA-PBE",
  "state": "relaxed",
  "dft_energy_ev_per_fu": -17.4,
  "n_ef_per_ev_atom": 0.60,
  "magmom_total_mub_per_fu": 0.00,
  "cell": [[5.304, 0.000, 0.000], [0.000, 5.304, 0.000], [0.000, 0.000, 3.618]],
  "species": ["Bi", "Bi", "H", "Se", "S"],
  "fractional_positions": [[0.000, 0.500, 0.000], [0.500, 0.000, 0.000], [0.000, 0.000, 0.000], [0.500, 0.500, 0.500], [0.000, 0.000, 0.500]]
}


(4)
{
  "formula": "MnCr3B",
  "functional": "GGA-PBE",
  "state": "relaxed",
  "polymorph_energy_mev_per_atom": 0,
  "n_ef_per_ev_atom": 1.37,
  "magmom_total_mub_per_fu": 0.00,
  "formation_enthalpy_0k_mev_per_atom": 390,
  "cell": [[3.833, 0.000, 0.000], [0.000, 3.833, 0.000], [0.000, 0.000, 3.833]],
  "species": ["Mn", "Cr", "Cr", "Cr", "B"],
  "fractional_positions": [[0.000, 0.000, 0.000], [0.000, 0.500, 0.500], [0.500, 0.000, 0.500], [0.500, 0.500, 0.000], [0.500, 0.500, 0.500]]
}


(5)
{
  "formula": "TaAgC3",
  "functional": "GGA-PBE",
  "state": "relaxed",
  "polymorph_energy_mev_per_atom": 1110,
  "n_ef_per_ev_atom": 0.71,
  "magmom_total_mub_per_fu": 0.00,
  "formation_enthalpy_0k_mev_per_atom": 3014,
  "cell": [[3.989, 0.000, 0.000], [0.000, 3.989, 0.000], [0.000, 0.000, 3.989]],
  "species": ["Ta", "Ag", "C", "C", "C"],
  "fractional_positions": [[0.000, 0.000, 0.000], [0.500, 0.500, 0.500], [0.000, 0.500, 0.500], [0.500, 0.000, 0.500], [0.500, 0.500, 0.000]]
}


(6)
{
  "formula": "SmGa4Cu2Ru",
  "functional": "GGA-PBE",
  "state": "relaxed",
  "n_ef_per_ev_atom": 0.40,
  "magmom_total_mub_per_fu": 0.00,
  "formation_enthalpy_0k_mev_per_atom": -307,
  "cell": [[2.091, 1.207, 8.987], [-2.091, 1.207, 8.987], [0.000, -2.414, 8.987]],
  "species": ["Sm", "Ga", "Ga", "Ga", "Ga", "Cu", "Cu", "Ru"],
  "fractional_positions": [[0.000, 0.000, 0.000], [0.131, 0.131, 0.131], [0.402, 0.402, 0.402], [0.598, 0.598, 0.598], [0.869, 0.869, 0.869], [0.233, 0.233, 0.233], [0.767, 0.767, 0.767], [0.500, 0.500, 0.500]]
}


(7)
{
  "formula": "HfRuPbBr2",
  "functional": "GGA-PBE",
  "state": "relaxed",
  "e_form_raw_ev_per_atom": 0.784,
  "n_ef_per_ev_atom": 1.41,
  "magmom_total_mub_per_fu": 0.00,
  "cell": [[4.883, 0.000, 0.000], [0.000, 4.883, 0.000], [0.000, 0.000, 5.504]],
  "species": ["Hf", "Ru", "Pb", "Br", "Br"],
  "fractional_positions": [[0.000, 0.000, 0.000], [0.500, 0.500, 0.500], [0.500, 0.500, 0.000], [0.000, 0.500, 0.500], [0.500, 0.000, 0.500]]
}


(8)
{
  "formula": "HfPa2Si3Ir4",
  "functional": "GGA-PBE",
  "state": "relaxed",
  "e_form_raw_ev_per_atom": -0.951,
  "n_ef_per_ev_atom": 0.67,
  "magmom_total_mub_per_fu": 0.00,
  "cell": [[4.041, 0.000, 0.000], [0.000, 4.041, 0.000], [0.000, 0.000, 10.900]],
  "species": ["Hf", "Pa", "Pa", "Si", "Si", "Si", "Ir", "Ir", "Ir", "Ir"],
  "fractional_positions": [[0.000, 0.000, 0.000], [0.000, 0.500, 0.730], [0.500, 0.000, 0.270], [0.000, 0.500, 0.375], [0.500, 0.000, 0.625], [0.500, 0.500, 0.000], [0.000, 0.000, 0.500], [0.000, 0.500, 0.155], [0.500, 0.000, 0.845], [0.500, 0.500, 0.500]]
}


(9)
{
  "formula": "HfH2N2",
  "functional": "GGA-PBE",
  "state": "relaxed",
  "polymorph_energy_mev_per_atom": 0,
  "n_ef_per_ev_atom": 0.30,
  "magmom_total_mub_per_fu": 0.00,
  "cell": [[-1.724, 1.724, 3.112], [1.724, -1.724, 3.112], [1.724, 1.724, -3.112]],
  "species": ["Hf", "H", "H", "N", "N"],
  "fractional_positions": [[0.000, 0.000, 0.000], [0.438, 0.438, 0.000], [0.562, 0.562, 0.000], [0.250, 0.750, 0.500], [0.750, 0.250, 0.500]]
}


(10)
{
  "formula": "Ac2VSe5",
  "functional": "GGA-PBE",
  "state": "relaxed",
  "e_form_raw_ev_per_atom": -1.392,
  "n_ef_per_ev_atom": 0.19,
  "magmom_total_mub_per_fu": 0.96,
  "cell": [[-3.640, 3.640, 4.207], [3.640, -3.640, 4.207], [3.640, 3.640, -4.207]],
  "species": ["Ac", "Ac", "V", "Se", "Se", "Se", "Se", "Se"],
  "fractional_positions": [[0.000, 0.500, 0.500], [0.500, 0.000, 0.500], [0.318, 0.318, 0.000], [0.018, 0.018, 0.529], [0.018, 0.489, 0.000], [0.489, 0.018, 0.000], [0.489, 0.489, 0.471], [0.578, 0.578, 0.000]]
}


(11)
{
  "formula": "V5Si6Mo5",
  "functional": "GGA-PBE",
  "state": "relaxed",
  "e_form_raw_ev_per_atom": -0.521,
  "n_ef_per_ev_atom": 0.73,
  "magmom_total_mub_per_fu": 0.00,
  "cell": [[4.879, 0.000, 0.000], [0.000, 6.242, 3.607], [0.000, -6.242, 3.607]],
  "species": ["V", "V", "V", "V", "V", "Si", "Si", "Si", "Si", "Si", "Si", "Mo", "Mo", "Mo", "Mo", "Mo"],
  "fractional_positions": [[0.000, 0.000, 0.000], [0.249, 0.579, 0.912], [0.249, 0.912, 0.579], [0.751, 0.579, 0.912], [0.751, 0.912, 0.579], [0.000, 0.243, 0.847], [0.000, 0.648, 0.648], [0.000, 0.847, 0.243], [0.500, 0.245, 0.645], [0.500, 0.645, 0.245], [0.500, 0.845, 0.845], [0.000, 0.246, 0.490], [0.000, 0.490, 0.246], [0.500, 0.000, 0.243], [0.500, 0.243, 0.000], [0.500, 0.490, 0.490]]
}


(12)
{
  "formula": "Ho2PaAsO8",
  "functional": "GGA-PBE",
  "state": "relaxed",
  "e_form_raw_ev_per_atom": -2.839,
  "n_ef_per_ev_atom": 0.00,
  "magmom_total_mub_per_fu": 0.00,
  "cell": [[3.439, -3.542, 0.000], [3.439, 3.542, 0.000], [0.000, 0.000, 6.712]],
  "species": ["Ho", "Ho", "Pa", "As", "O", "O", "O", "O", "O", "O", "O", "O"],
  "fractional_positions": [[0.000, 0.000, 0.235], [0.000, 0.000, 0.765], [0.500, 0.500, 0.500], [0.500, 0.500, 0.000], [0.196, 0.196, 0.500], [0.233, 0.233, 0.000], [0.322, 0.678, 0.218], [0.322, 0.678, 0.782], [0.678, 0.322, 0.218], [0.678, 0.322, 0.782], [0.767, 0.767, 0.000], [0.804, 0.804, 0.500]]
}